(1)
A relaxed structure of Li3TbCe3S8. Source: Alexandria, functional GGA-PBE.

Lattice parameters (Å, degrees): 8.1124 8.1102 7.6952 121.83 90.00 120.01
Site moments in Bohr magnetons follow the coordinates.
Atoms (fractional coordinates):
Tb 0.0000 0.0000 0.5000  0.00
S 0.2454 0.4907 0.7454  -0.01
S 0.2454 0.0003 0.7454  -0.01
S 0.2480 0.4960 0.2443  -0.02
S 0.7546 0.5093 0.2546  -0.01
S 0.2451 0.9997 0.2546  -0.01
S 0.7520 0.5040 0.7557  -0.02
S 0.7549 0.0003 0.7454  -0.01
S 0.7546 0.9997 0.2546  -0.01
Li 0.0000 0.0000 0.0000  0.00
Li 0.5000 0.5000 0.0000  0.00
Li 0.0000 0.5000 0.0000  0.00
Ce 0.5000 0.5000 0.5000  0.68
Ce 0.0000 0.5000 0.5000  0.68
Ce 0.5000 0.0000 0.5000  0.68

Computed properties:
Space-group type = R-3m
Mass density = 4.09 g cm⁻³
Raw total energy = -5.845 eV/atom

=====

(2)
A relaxed structure of Li4Tb3CeS8. Source: Alexandria, functional GGA-PBE.

Lattice parameters (Å, degrees): 7.9285 7.6922 7.9271 121.04 120.01 90.00
Site moments in Bohr magnetons follow the coordinates.
Atoms (fractional coordinates):
S 0.7455 0.7533 0.9996  -0.01
S 0.7505 0.7511 0.5009  0.00
S 0.2545 0.2467 0.0004  -0.01
S 0.2541 0.7533 0.9996  -0.01
S 0.7460 0.2467 0.4919  -0.01
S 0.2540 0.7533 0.5081  -0.01
S 0.2495 0.2489 0.4991  0.00
S 0.7459 0.2467 0.0004  -0.01
Li 0.0000 0.0000 0.5000  0.00
Li 0.5000 0.0000 0.0000  0.00
Li 0.0000 0.0000 0.0000  0.00
Li 0.5000 0.0000 0.5000  0.00
Tb 0.5000 0.5000 0.5000  0.01
Tb 0.0000 0.5000 0.5000  0.01
Tb 0.5000 0.5000 0.0000  0.01
Ce 0.0000 0.5000 0.0000  0.86

Computed properties:
Space-group type = R-3m
Mass density = 4.45 g cm⁻³
Raw total energy = -5.589 eV/atom

=====

(3)
A relaxed structure of LiTb2CeS4. Source: Alexandria, functional GGA-PBE.

Lattice parameters (Å, degrees): 3.9327 6.8063 6.8464 109.38 90.00 90.00
Site moments in Bohr magnetons follow the coordinates.
Atoms (fractional coordinates):
S 0.0000 0.7590 0.2529  -0.01
S 0.5000 0.7554 0.7498  -0.01
S 0.0000 0.2410 0.7471  -0.01
S 0.5000 0.2446 0.2502  -0.01
Li 0.0000 0.0000 0.0000  0.00
Tb 0.5000 0.0000 0.5000  0.02
Tb 0.0000 0.5000 0.5000  0.07
Ce 0.5000 0.5000 0.0000  0.80

Computed properties:
Space-group type = P2/m
Mass density = 5.70 g cm⁻³
Raw total energy = -6.127 eV/atom